1.
Compound: La2LuIn
Source: Alexandria
Functional: PBE
Structure: optimized geometry

Results
The value obtained for the uncorrected energy is -4.458 eV/atom. The density of states at the Fermi level is 1.70 states/eV per atom. For the formation energy, the calculation gives -179 meV per atom. Its energy above the most stable polymorph in this dataset is 0.084 eV per atom.

Unit cell a=5.6234 b=5.6234 c=5.6234 alpha=60.00 beta=60.00 gamma=60.00
Closest atoms and distances in Å follow each position.
Element x y z (fractional)
Lu  0.0000  0.0000  0.0000  8 La 3.44
La  0.2500  0.2500  0.2500  4 Lu 3.44, 4 In 3.44
La  0.7500  0.7500  0.7500  4 In 3.44, 4 Lu 3.44
In  0.5000  0.5000  0.5000  8 La 3.44

***

2.
Compound: LaLuIn2
Source: Alexandria
Functional: PBE
Structure: optimized geometry

Results
The value obtained for the uncorrected energy is -4.186 eV/atom. The density of states at the Fermi level is 0.62 states/eV per atom. For the formation energy, the calculation gives -455 meV per atom.

Unit cell a=5.4110 b=5.4111 c=5.4111 alpha=60.00 beta=60.00 gamma=60.00
Closest atoms and distances in Å follow each position.
Element x y z (fractional)
Lu  0.7500  0.7500  0.7500  8 In 3.31
In  0.0000  0.0000  0.0000  4 Lu 3.31, 4 La 3.31
In  0.5000  0.5000  0.5000  4 Lu 3.31, 4 La 3.31
La  0.2500  0.2500  0.2500  8 In 3.31

***

3.
Compound: LaLu2In
Source: Alexandria
Functional: PBE
Structure: optimized geometry

Results
The value obtained for the uncorrected energy is -4.228 eV/atom. The density of states at the Fermi level is 1.67 states/eV per atom. For the formation energy, the calculation gives -51 meV per atom. Its energy above the most stable polymorph in this dataset is 0.181 eV per atom.

Unit cell a=5.4372 b=5.4372 c=5.4372 alpha=60.00 beta=60.00 gamma=60.00
Closest atoms and distances in Å follow each position.
Element x y z (fractional)
Lu  0.2500  0.2500  0.2500  4 In 3.33, 4 La 3.33
Lu  0.7500  0.7500  0.7500  4 In 3.33, 4 La 3.33
In  0.5000  0.5000  0.5000  8 Lu 3.33
La  0.0000  0.0000  0.0000  8 Lu 3.33

***

4.
Compound: LaLuIn2
Source: Alexandria
Functional: PBE
Structure: optimized geometry

Results
The value obtained for the uncorrected energy is -4.162 eV/atom. The density of states at the Fermi level is 0.93 states/eV per atom. For the formation energy, the calculation gives -430 meV per atom.

Unit cell a=4.5401 b=4.9737 c=4.9737 alpha=90.00 beta=90.00 gamma=90.00
Closest atoms and distances in Å follow each position.
Element x y z (fractional)
Lu  0.5000  0.5000  0.5000  8 In 3.37, 4 La 3.52
In  0.0000  0.0000  0.5000  4 Lu 3.37, 4 La 3.37, 4 In 3.52
In  0.0000  0.5000  0.0000  4 La 3.37, 4 Lu 3.37, 4 In 3.52
La  0.5000  0.0000  0.0000  8 In 3.37, 4 Lu 3.52

***

5.
Compound: LaLuIn2
Source: Alexandria
Functional: PBE
Structure: optimized geometry

Results
The value obtained for the uncorrected energy is -4.015 eV/atom. The density of states at the Fermi level is 0.94 states/eV per atom. For the formation energy, the calculation gives -284 meV per atom.

Unit cell a=3.6662 b=3.6662 c=10.3679 alpha=79.82 beta=79.82 gamma=60.00
Closest atoms and distances in Å follow each position.
Element x y z (fractional)
Lu  0.0000  0.0000  0.0000  6 In 3.19
In  0.7452  0.7452  0.7643  3 Lu 3.19, 3 La 3.42
In  0.2548  0.2548  0.2357  3 Lu 3.19, 3 La 3.42
La  0.5000  0.5000  0.5000  6 In 3.42, 6 La 3.67

***

6.
Compound: La2LuIn
Source: Alexandria
Functional: PBE
Structure: optimized geometry

Results
The value obtained for the uncorrected energy is -4.479 eV/atom. The density of states at the Fermi level is 1.38 states/eV per atom. For the formation energy, the calculation gives -200 meV per atom. Its energy above the most stable polymorph in this dataset is 0.063 eV per atom.

Unit cell a=4.2579 b=4.2579 c=7.0422 alpha=90.00 beta=90.00 gamma=90.00
Closest atoms and distances in Å follow each position.
Element x y z (fractional)
Lu  0.5000  0.5000  0.5000  2 In 3.52, 8 La 3.54
In  0.5000  0.5000  0.0000  8 La 3.44, 2 Lu 3.52
La  0.0000  0.0000  0.7647  1 La 3.31, 4 In 3.44, 4 Lu 3.54
La  0.0000  0.0000  0.2353  1 La 3.31, 4 In 3.44, 4 Lu 3.54

***

7.
Compound: LaLuIn2
Source: Alexandria
Functional: PBE
Structure: optimized geometry

Results
The value obtained for the uncorrected energy is -4.203 eV/atom. The density of states at the Fermi level is 0.67 states/eV per atom. For the formation energy, the calculation gives -472 meV per atom.

Unit cell a=3.7879 b=3.7879 c=7.7933 alpha=90.00 beta=90.00 gamma=90.00
Closest atoms and distances in Å follow each position.
Element x y z (fractional)
Lu  0.5000  0.5000  0.0000  8 In 3.20
In  0.0000  0.0000  0.7751  4 Lu 3.20, 4 La 3.43, 1 In 3.50
In  0.0000  0.0000  0.2249  4 Lu 3.20, 4 La 3.43, 1 In 3.50
La  0.5000  0.5000  0.5000  8 In 3.43, 4 La 3.79

***

8.
Compound: La2LuIn
Source: Alexandria
Functional: PBE
Structure: optimized geometry

Results
The value obtained for the uncorrected energy is -4.542 eV/atom. The density of states at the Fermi level is 1.39 states/eV per atom. For the formation energy, the calculation gives -264 meV per atom. Its energy above the most stable polymorph in this dataset is 0.000 eV per atom.

Unit cell a=5.0904 b=4.9149 c=4.9149 alpha=90.00 beta=90.00 gamma=90.00
Closest atoms and distances in Å follow each position.
Element x y z (fractional)
Lu  0.5000  0.5000  0.5000  4 In 3.48, 8 La 3.54
La  0.0000  0.0000  0.5000  4 La 3.48, 4 In 3.54, 4 Lu 3.54
La  0.0000  0.5000  0.0000  4 La 3.48, 4 In 3.54, 4 Lu 3.54
In  0.5000  0.0000  0.0000  4 Lu 3.48, 8 La 3.54

***

9.
Compound: LaLuMgIn
Source: Alexandria
Functional: PBE
Structure: optimized geometry

Results
The value obtained for the uncorrected energy is -3.748 eV/atom. The density of states at the Fermi level is 0.73 states/eV per atom. For the formation energy, the calculation gives -302 meV per atom.

Unit cell a=5.4090 b=5.4090 c=5.4090 alpha=60.00 beta=60.00 gamma=60.00
Closest atoms and distances in Å follow each position.
Element x y z (fractional)
Mg  0.0000  0.0000  0.0000  4 Lu 3.31, 4 La 3.31
Lu  0.7500  0.7500  0.7500  4 In 3.31, 4 Mg 3.31
La  0.2500  0.2500  0.2500  4 Mg 3.31, 4 In 3.31
In  0.5000  0.5000  0.5000  4 La 3.31, 4 Lu 3.31

***

10.
Compound: LaNdLuIn
Source: Alexandria
Functional: PBE
Structure: optimized geometry

Results
The value obtained for the uncorrected energy is -4.412 eV/atom. The density of states at the Fermi level is 1.89 states/eV per atom. For the formation energy, the calculation gives -173 meV per atom.

Unit cell a=5.5785 b=5.5785 c=5.5785 alpha=60.00 beta=60.00 gamma=60.00
Closest atoms and distances in Å follow each position.
Element x y z (fractional)
Lu  0.7500  0.7500  0.7500  4 La 3.42, 4 Nd 3.42
Nd  0.0000  0.0000  0.0000  4 In 3.42, 4 Lu 3.42
La  0.5000  0.5000  0.5000  4 Lu 3.42, 4 In 3.42
In  0.2500  0.2500  0.2500  4 La 3.42, 4 Nd 3.42

***

11.
Compound: LaPmLuIn
Source: Alexandria
Functional: PBE
Structure: optimized geometry

Results
The value obtained for the uncorrected energy is -4.408 eV/atom. The density of states at the Fermi level is 1.74 states/eV per atom. For the formation energy, the calculation gives -173 meV per atom.

Unit cell a=5.5670 b=5.5670 c=5.5670 alpha=60.00 beta=60.00 gamma=60.00
Closest atoms and distances in Å follow each position.
Element x y z (fractional)
Pm  0.5000  0.5000  0.5000  4 In 3.41, 4 Lu 3.41
Lu  0.2500  0.2500  0.2500  4 La 3.41, 4 Pm 3.41
La  0.0000  0.0000  0.0000  4 In 3.41, 4 Lu 3.41
In  0.7500  0.7500  0.7500  4 La 3.41, 4 Pm 3.41

***

12.
Compound: LaPrLuIn
Source: Alexandria
Functional: PBE
Structure: optimized geometry

Results
The value obtained for the uncorrected energy is -4.415 eV/atom. The density of states at the Fermi level is 1.80 states/eV per atom. For the formation energy, the calculation gives -173 meV per atom.

Unit cell a=5.5956 b=5.5956 c=5.5956 alpha=60.00 beta=60.00 gamma=60.00
Closest atoms and distances in Å follow each position.
Element x y z (fractional)
Pr  0.2500  0.2500  0.2500  4 In 3.43, 4 Lu 3.43
Lu  0.5000  0.5000  0.5000  4 La 3.43, 4 Pr 3.43
La  0.7500  0.7500  0.7500  4 Lu 3.43, 4 In 3.43
In  0.0000  0.0000  0.0000  4 La 3.43, 4 Pr 3.43